Computed, not measured: an optimized crystal structure of Sr2MnCuSO3 at the PBE with a Hubbard U level of DFT.

Cell lengths 3.9067, 3.9067, 16.0498 Å; angles 90.00, 90.00, 90.00 degrees
Space group P4/nmm (No. 129, origin choice 2)
One atom of each set of equivalent atoms:
Sr 0.2500 0.2500 0.0834 (multiplicity 2)
Sr 0.2500 0.2500 0.3150 (multiplicity 2)
Mn 0.2500 0.2500 0.8041 (multiplicity 2)
Cu 0.2500 0.7500 0.5000 (multiplicity 2)
S 0.2500 0.2500 0.5872 (multiplicity 2)
O 0.2500 0.2500 0.9314 (multiplicity 2)
O 0.2500 0.7500 0.2159 (multiplicity 4)

Values from the calculation:
Crystal system   tetragonal
N(E_F)   2.51 states/eV/cell
E_tot   -6.137 eV per atom